## Li2GePbS4 (PBE-GGA)

Data for crystalline Li2GePbS4 at its relaxed geometry.

a = 6.103 Å, b = 6.103 Å, c = 6.102 Å
α = 115.04°, β = 115.04°, γ = 98.82°
Fractional coordinates of all 8 atoms:
Li  0.250  0.750  0.000
Li  0.750  0.250  0.000
Ge  0.000  0.000  0.500
Pb  0.499  0.499  0.499
S  0.035  0.641  0.500
S  0.359  0.359  0.896
S  0.641  0.035  0.500
S  0.965  0.965  0.106

Calculated values
Formation energy without anion corrections, eV per atom: -0.81
DOS at the Fermi energy, states/eV per cell: 0.0
Crystal system: monoclinic

---

## Y2BeFeC (PBE-GGA)

Data for crystalline Y2BeFeC at its relaxed geometry.

a = 4.906 Å, b = 4.906 Å, c = 3.641 Å
α = 90.00°, β = 90.00°, γ = 90.00°
Fractional coordinates of all 5 atoms:
Y  0.000  0.500  0.000
Y  0.500  0.000  0.000
Be  0.000  0.000  0.500
Fe  0.500  0.500  0.500
C  0.500  0.500  0.000

Calculated values
DOS at the Fermi energy, states/eV per cell: 2.6
Crystal system: tetragonal
ΔH_f (0 K), kJ per mole of atoms: -12.6

---

## TlSb2Br7 (PBE-GGA)

Data for crystalline TlSb2Br7 at its relaxed geometry.

a = 8.430 Å, b = 8.430 Å, c = 5.611 Å
α = 90.00°, β = 90.00°, γ = 112.19°
Fractional coordinates of all 10 atoms:
Tl  0.000  0.000  0.000
Sb  0.285  0.715  0.500
Sb  0.715  0.285  0.500
Br  0.053  0.317  0.500
Br  0.280  0.720  0.000
Br  0.317  0.053  0.500
Br  0.500  0.500  0.500
Br  0.683  0.947  0.500
Br  0.720  0.280  0.000
Br  0.947  0.683  0.500

Calculated values
Formation energy without anion corrections, eV per atom: -0.57
DOS at the Fermi energy, states/eV per cell: 0.0
Crystal system: orthorhombic

---

## NbMo3W (PBE-GGA)

Data for crystalline NbMo3W at its relaxed geometry.

a = 4.700 Å, b = 4.700 Å, c = 4.700 Å
α = 90.00°, β = 90.00°, γ = 90.00°
Fractional coordinates of all 5 atoms:
Nb  0.000  0.000  0.000
Mo  0.000  0.500  0.500
Mo  0.500  0.000  0.500
Mo  0.500  0.500  0.000
W  0.500  0.500  0.500

Calculated values
Energy relative to the lowest polymorph listed for this composition, meV per atom: 1777
DOS at the Fermi energy, states/eV per cell: 7.9
Crystal system: cubic
ΔH_f (0 K), kJ per mole of atoms: 165.4

---

## ScInSnCl6 (PBE-GGA)

Data for crystalline ScInSnCl6 at its relaxed geometry.

a = 7.072 Å, b = 7.072 Å, c = 6.740 Å
α = 90.00°, β = 90.00°, γ = 120.00°
Fractional coordinates of all 9 atoms:
Sc  0.000  0.000  0.000
In  0.333  0.667  0.500
Sn  0.667  0.333  0.000
Cl  0.298  0.015  0.216
Cl  0.298  0.282  0.784
Cl  0.718  0.015  0.784
Cl  0.718  0.702  0.216
Cl  0.985  0.282  0.216
Cl  0.985  0.702  0.784

Calculated values
Formation energy without anion corrections, eV per atom: -1.47
DOS at the Fermi energy, states/eV per cell: 0.0
Crystal system: trigonal

---

## Fe3Co5 (PBE-GGA)

Data for crystalline Fe3Co5 at its relaxed geometry.

a = 2.811 Å, b = 4.005 Å, c = 8.074 Å
α = 90.00°, β = 90.00°, γ = 90.00°
Fractional coordinates of all 8 atoms:
Fe  0.000  0.000  0.000
Fe  0.500  0.000  0.251
Fe  0.500  0.000  0.749
Co  0.000  0.000  0.500
Co  0.000  0.500  0.251
Co  0.000  0.500  0.749
Co  0.500  0.500  0.000
Co  0.500  0.500  0.500

Calculated values
DOS at the Fermi energy, states/eV per cell: 9.1
Crystal system: orthorhombic
ΔH_f (0 K), kJ per mole of atoms: 1.3

---

## TbCePmIn (PBE-GGA)

Data for crystalline TbCePmIn at its relaxed geometry.

a = 5.453 Å, b = 5.453 Å, c = 5.453 Å
α = 60.00°, β = 60.00°, γ = 60.00°
Fractional coordinates of all 4 atoms:
Tb  0.000  0.000  0.000
Ce  0.250  0.250  0.250
Pm  0.500  0.500  0.500
In  0.750  0.750  0.750

Calculated values
DOS at the Fermi energy, states/eV per cell: 6.4
Crystal system: cubic
ΔH_f (0 K), kJ per mole of atoms: -8.3

---

## Cs3K5 (PBE-GGA)

Data for crystalline Cs3K5 at its relaxed geometry.

a = 5.560 Å, b = 5.560 Å, c = 22.464 Å
α = 90.00°, β = 90.00°, γ = 90.00°
Fractional coordinates of all 8 atoms:
Cs  0.000  0.000  0.000
Cs  0.500  0.500  0.371
Cs  0.500  0.500  0.629
K  0.000  0.000  0.237
K  0.000  0.000  0.500
K  0.000  0.000  0.763
K  0.500  0.500  0.134
K  0.500  0.500  0.866

Calculated values
DOS at the Fermi energy, states/eV per cell: 6.7
Crystal system: tetragonal
ΔH_f (0 K), kJ per mole of atoms: 0.7

---

## Co2TcIr (PBE-GGA)

Data for crystalline Co2TcIr at its relaxed geometry.

a = 4.482 Å, b = 4.482 Å, c = 2.633 Å
α = 90.00°, β = 90.00°, γ = 108.07°
Fractional coordinates of all 4 atoms:
Co  0.000  0.500  0.000
Co  0.500  0.000  0.000
Tc  0.000  0.000  0.500
Ir  0.500  0.500  0.500

Calculated values
Energy relative to the lowest polymorph listed for this composition, meV per atom: 75
DOS at the Fermi energy, states/eV per cell: 5.9
Crystal system: orthorhombic
ΔH_f (0 K), kJ per mole of atoms: 5.5

---

## Ce2Ga4SnAu3 (PBE-GGA)

Data for crystalline Ce2Ga4SnAu3 at its relaxed geometry.

a = 4.408 Å, b = 4.408 Å, c = 11.025 Å
α = 90.00°, β = 90.00°, γ = 90.00°
Fractional coordinates of all 10 atoms:
Ce  0.000  0.500  0.242
Ce  0.500  0.000  0.758
Ga  0.000  0.000  0.000
Ga  0.000  0.500  0.648
Ga  0.500  0.000  0.352
Ga  0.500  0.500  0.000
Sn  0.000  0.000  0.500
Au  0.000  0.500  0.873
Au  0.500  0.000  0.127
Au  0.500  0.500  0.500

Calculated values
DOS at the Fermi energy, states/eV per cell: 14.8
Crystal system: tetragonal
ΔH_f (0 K), kJ per mole of atoms: -52.7